A plane-wave DFT calculation with PBE was carried out for a relaxed structure of Lu4BiSbN2.

CIF file:
```
data_Lu4BiSbN2
_chemical_formula_sum 'Lu4 Bi1 Sb1 N2'
_cell_length_a 3.4883
_cell_length_b 3.4883
_cell_length_c 14.6883
_cell_angle_alpha 90.00
_cell_angle_beta 90.00
_cell_angle_gamma 120.00
_symmetry_space_group_name_H-M 'P -6 m 2'
_symmetry_Int_Tables_number 187
_symmetry_space_group_name_Hall 'P -6 2'
loop_
_atom_site_label
_atom_site_fract_x
_atom_site_fract_y
_atom_site_fract_z
Lu1 0.0000 0.0000 0.1617
Lu2 0.6667 0.3333 0.3314
Bi1 0.0000 0.0000 0.5000
Sb1 0.6667 0.3333 0.0000
N1 0.3333 0.6667 0.2480
```

Output
* total magnetic moment: 0.07 μB per formula unit
* final energy: -6.52 eV/atom
* crystal system: hexagonal